# 1
A plane-wave DFT calculation with PBE was carried out for Sm12Tl3Cd after structural relaxation.

The calculation puts the formation energy at -0.173 eV/atom. The total energy comes out at -4.21 eV per atom.

The space group is P4/mmm (No. 123) and the conventional cell measures 4.9374, 4.9374 and 19.7236 Å, with angles of 90.00, 90.00 and 90.00 degrees. The asymmetric unit holds Sm at (0.0000, 0.0000, 0.0000), Sm at (0.0000, 0.0000, 0.2483), Sm at (0.0000, 0.0000, 0.5000), Sm at (0.0000, 0.5000, 0.1241), Sm at (0.0000, 0.5000, 0.3746), Tl at (0.5000, 0.5000, 0.2502), Tl at (0.5000, 0.5000, 0.5000) and Cd at (0.5000, 0.5000, 0.0000).

# 2
A plane-wave DFT calculation with PBE was carried out for SmErAl after structural relaxation.

The calculation puts the formation energy at -0.124 eV/atom. The total energy comes out at -4.47 eV per atom.

The space group is C2/m (No. 12) and the conventional cell measures 6.4166, 6.4165 and 8.1543 Å, with angles of 90.00, 90.13 and 90.00 degrees. The asymmetric unit holds Sm at (0.0000, 0.2500, 0.0000), Er at (0.2488, 0.0000, 0.6393) and Al at (0.2488, 0.5000, 0.7286).

# 3
A plane-wave DFT calculation with PBE was carried out for Rb2HgCl2 after structural relaxation.

The formation energy (no corrections) comes out at -1410 meV per atom. The total energy comes out at -2.60 eV per atom.

The space group is I4/mmm (No. 139) and the conventional cell measures 6.2923, 6.2923 and 13.7033 Å, with angles of 90.00, 90.00 and 90.00 degrees. The asymmetric unit holds Rb at (0.0000, 0.0000, 0.2041), Hg at (0.0000, 0.0000, 0.5000) and Cl at (0.0000, 0.5000, 0.2500).

# 4
A plane-wave DFT calculation with PBE was carried out for InPCl4 after structural relaxation.

The formation energy (no corrections) comes out at 668 meV per atom. The total energy comes out at -1.92 eV per atom.

The space group is F-43m (No. 216) and the conventional cell measures 8.5835, 8.5835 and 8.5835 Å, with angles of 90.00, 90.00 and 90.00 degrees. The asymmetric unit holds In at (0.0000, 0.0000, 0.0000), P at (0.2500, 0.2500, 0.7500) and Cl at (0.1248, 0.1248, 0.3752).

# 5
A plane-wave DFT calculation with PBE was carried out for Ca4BeTe after structural relaxation.

The formation energy (no corrections) comes out at 423 meV per atom. The total energy comes out at -2.06 eV per atom.

The space group is F-43m (No. 216) and the conventional cell measures 9.3439, 9.3439 and 9.3439 Å, with angles of 90.00, 90.00 and 90.00 degrees. The asymmetric unit holds Ca at (0.1249, 0.1249, 0.1249), Be at (0.0000, 0.0000, 0.5000) and Te at (0.2500, 0.2500, 0.7500).